1.
Ba4LiNb3O12 | PBE | optimized geometry

Properties
The calculation puts the polymorph energy (0 for the lowest one) at 0 meV per atom. For the density of states at the Fermi level, the calculation gives 0.00 states/eV/cell.

Geometry as CIF:
```
data_Ba4LiNb3O12
_space_group_name_H-M_alt 'P 63 m c'
_space_group_IT_number 186
_space_group_name_Hall 'P 6c -2c'
_cell_length_a 5.8858
_cell_length_b 5.8858
_cell_length_c 19.3993
_cell_angle_alpha 90.00
_cell_angle_beta 90.00
_cell_angle_gamma 120.00
loop_
_atom_site_label
_atom_site_fract_x
_atom_site_fract_y
_atom_site_fract_z
Ba1 0.0000 0.0000 0.0000
Ba2 0.3333 0.6667 0.1430
Ba3 0.3333 0.6667 0.3699
Ba4 0.3333 0.6667 0.7498
Li1 0.0000 0.0000 0.1649
Nb1 0.0000 0.0000 0.3072
Nb2 0.3333 0.6667 0.5666
Nb3 0.3333 0.6667 0.9388
O1 0.0027 0.5013 0.9957
O2 0.1594 0.3187 0.2556
O3 0.1696 0.3391 0.8772
O4 0.1729 0.3458 0.6173
```

2.
Ba4LiNb3O12 | PBE | optimized geometry

Properties
The calculation puts the polymorph energy (0 for the lowest one) at 39 meV per atom. For the density of states at the Fermi level, the calculation gives 0.00 states/eV/cell.

Geometry as CIF:
```
data_Ba4LiNb3O12
_space_group_name_H-M_alt 'I m -3 m'
_space_group_IT_number 229
_space_group_name_Hall '-I 4 2 3'
_cell_length_a 8.337
_cell_length_b 8.337
_cell_length_c 8.337
_cell_angle_alpha 90.00
_cell_angle_beta 90.00
_cell_angle_gamma 90.00
loop_
_atom_site_label
_atom_site_fract_x
_atom_site_fract_y
_atom_site_fract_z
Ba1 0.250 0.250 0.250
Li1 0.000 0.000 0.000
Nb1 0.000 0.000 0.500
O1 0.000 0.000 0.267
O2 0.000 0.250 0.500
```

3.
BaLiNb2Os | PBE | optimized geometry

Properties
Its formation enthalpy at 0 K is 2.68 eV/atom. For the density of states at the Fermi level, the calculation gives 6.55 states/eV/cell.

Geometry as CIF:
```
data_BaLiNb2Os
_space_group_name_H-M_alt 'P 4/m m m'
_space_group_IT_number 123
_space_group_name_Hall '-P 4 2'
_cell_length_a 5.111
_cell_length_b 5.111
_cell_length_c 5.033
_cell_angle_alpha 90.00
_cell_angle_beta 90.00
_cell_angle_gamma 90.00
loop_
_atom_site_label
_atom_site_fract_x
_atom_site_fract_y
_atom_site_fract_z
Ba1 0.000 0.000 0.000
Li1 0.500 0.500 0.500
Nb1 0.000 0.500 0.000
Os1 0.000 0.000 0.500
```

4.
BaLiNb2Pt | PBE | optimized geometry

Properties
Its formation enthalpy at 0 K is 2.19 eV/atom. For the density of states at the Fermi level, the calculation gives 6.69 states/eV/cell.

Geometry as CIF:
```
data_BaLiNb2Pt
_space_group_name_H-M_alt 'P 4/m m m'
_space_group_IT_number 123
_space_group_name_Hall '-P 4 2'
_cell_length_a 5.151
_cell_length_b 5.151
_cell_length_c 5.324
_cell_angle_alpha 90.00
_cell_angle_beta 90.00
_cell_angle_gamma 90.00
loop_
_atom_site_label
_atom_site_fract_x
_atom_site_fract_y
_atom_site_fract_z
Ba1 0.000 0.000 0.000
Li1 0.500 0.500 0.500
Nb1 0.000 0.500 0.000
Pt1 0.000 0.000 0.500
```

5.
Ba3Li2NbS6 | PBE | optimized geometry

Properties
The total energy comes out at -5.144 eV/atom. For the density of states at the Fermi level, the calculation gives 4.15 states/eV/cell.

Geometry as CIF:
```
data_Ba3Li2NbS6
_space_group_name_H-M_alt 'P -3 m 1'
_space_group_IT_number 164
_space_group_name_Hall '-P 3 2"'
_cell_length_a 7.1373
_cell_length_b 7.1373
_cell_length_c 7.7641
_cell_angle_alpha 90.00
_cell_angle_beta 90.00
_cell_angle_gamma 120.00
loop_
_atom_site_label
_atom_site_fract_x
_atom_site_fract_y
_atom_site_fract_z
Ba1 0.0000 0.0000 0.0000
Ba2 0.3333 0.6667 0.6186
Li1 0.3333 0.6667 0.1947
Nb1 0.0000 0.0000 0.5000
S1 0.1632 0.3265 0.3082
```

6.
BaLi2NbSn | PBE | optimized geometry

Properties
Its formation enthalpy at 0 K is 1.31 eV/atom. For the density of states at the Fermi level, the calculation gives 4.37 states/eV/cell.

Geometry as CIF:
```
data_BaLi2NbSn
_space_group_name_H-M_alt 'P 4/m m m'
_space_group_IT_number 123
_space_group_name_Hall '-P 4 2'
_cell_length_a 4.897
_cell_length_b 4.897
_cell_length_c 5.396
_cell_angle_alpha 90.00
_cell_angle_beta 90.00
_cell_angle_gamma 90.00
loop_
_atom_site_label
_atom_site_fract_x
_atom_site_fract_y
_atom_site_fract_z
Ba1 0.000 0.000 0.000
Li1 0.000 0.500 0.000
Nb1 0.000 0.000 0.500
Sn1 0.500 0.500 0.500
```

7.
BaLi2Nd | PBE | optimized geometry

Properties
The calculation puts the polymorph energy (0 for the lowest one) at 0 meV per atom. Its formation enthalpy at 0 K is 0.15 eV/atom. For the density of states at the Fermi level, the calculation gives 6.53 states/eV/cell.

Geometry as CIF:
```
data_BaLi2Nd
_space_group_name_H-M_alt 'P 4/m m m'
_space_group_IT_number 123
_space_group_name_Hall '-P 4 2'
_cell_length_a 4.047
_cell_length_b 4.047
_cell_length_c 8.372
_cell_angle_alpha 90.00
_cell_angle_beta 90.00
_cell_angle_gamma 90.00
loop_
_atom_site_label
_atom_site_fract_x
_atom_site_fract_y
_atom_site_fract_z
Ba1 0.000 0.000 0.000
Li1 0.500 0.500 0.289
Nd1 0.000 0.000 0.500
```

8.
BaLi2Nd | PBE | optimized geometry

Properties
The calculation puts the polymorph energy (0 for the lowest one) at 52 meV per atom. Its formation enthalpy at 0 K is 0.20 eV/atom. For the density of states at the Fermi level, the calculation gives 25.62 states/eV/cell.

Geometry as CIF:
```
data_BaLi2Nd
_space_group_name_H-M_alt 'F m -3 m'
_space_group_IT_number 225
_space_group_name_Hall '-F 4 2 3'
_cell_length_a 8.206
_cell_length_b 8.206
_cell_length_c 8.206
_cell_angle_alpha 90.00
_cell_angle_beta 90.00
_cell_angle_gamma 90.00
loop_
_atom_site_label
_atom_site_fract_x
_atom_site_fract_y
_atom_site_fract_z
Ba1 0.000 0.000 0.000
Li1 0.250 0.250 0.250
Nd1 0.000 0.000 0.500
```

What did the second record say?
Ba4LiNb3O12 | PBE | optimized geometry

Properties
The calculation puts the polymorph energy (0 for the lowest one) at 39 meV per atom. For the density of states at the Fermi level, the calculation gives 0.00 states/eV/cell.

Geometry as CIF:
```
data_Ba4LiNb3O12
_space_group_name_H-M_alt 'I m -3 m'
_space_group_IT_number 229
_space_group_name_Hall '-I 4 2 3'
_cell_length_a 8.337
_cell_length_b 8.337
_cell_length_c 8.337
_cell_angle_alpha 90.00
_cell_angle_beta 90.00
_cell_angle_gamma 90.00
loop_
_atom_site_label
_atom_site_fract_x
_atom_site_fract_y
_atom_site_fract_z
Ba1 0.250 0.250 0.250
Li1 0.000 0.000 0.000
Nb1 0.000 0.000 0.500
O1 0.000 0.000 0.267
O2 0.000 0.250 0.500
```